Entry 1:
Here is a geometry-optimized LaYTlSn structure from Alexandria via LeMat-Bulk. Energies are from PBE.

a = 5.491 Å, b = 5.491 Å, c = 5.491 Å
α = 60.00°, β = 60.00°, γ = 60.00°
Fractional positions:
La1 0.000 0.000 0.000
Y1 0.500 0.500 0.500
Tl1 0.250 0.250 0.250
Sn1 0.750 0.750 0.750

Calculated values
DOS(E_F)   0.70 states/eV/atom
Spin magnetization   0.001 μB per atom
Energy of formation   -0.527 eV per atom
V   117.05 Å³/f.u.

=====

Entry 2:
Here is a geometry-optimized La3TmSn3 structure from Alexandria via LeMat-Bulk. Energies are from PBE.

a = 8.087 Å, b = 8.087 Å, c = 8.080 Å
α = 90.33°, β = 90.33°, γ = 113.64°
Fractional positions:
La1 0.156 0.844 0.000
La2 0.226 0.774 0.500
La3 0.373 0.373 0.140
La4 0.627 0.627 0.860
La5 0.774 0.226 0.500
La6 0.844 0.156 0.000
Tm1 0.288 0.288 0.593
Tm2 0.712 0.712 0.407
Sn1 0.052 0.052 0.314
Sn2 0.159 0.501 0.811
Sn3 0.499 0.841 0.189
Sn4 0.501 0.159 0.811
Sn5 0.841 0.499 0.189
Sn6 0.948 0.948 0.686

Calculated values
DOS(E_F)   0.74 states/eV/atom
Spin magnetization   0.000 μB per atom
Energy of formation   -0.508 eV per atom
V   242.04 Å³/f.u.

=====

Entry 3:
Here is a geometry-optimized La5TmSn3 structure from Alexandria via LeMat-Bulk. Energies are from PBE.

a = 9.758 Å, b = 9.758 Å, c = 6.883 Å
α = 90.00°, β = 90.00°, γ = 120.00°
Fractional positions:
La1 0.000 0.324 0.250
La2 0.000 0.676 0.750
La3 0.324 0.000 0.250
La4 0.324 0.324 0.750
La5 0.333 0.667 0.000
La6 0.333 0.667 0.500
La7 0.667 0.333 0.000
La8 0.667 0.333 0.500
La9 0.676 0.000 0.750
La10 0.676 0.676 0.250
Tm1 0.000 0.000 0.000
Tm2 0.000 0.000 0.500
Sn1 0.000 0.339 0.750
Sn2 0.000 0.661 0.250
Sn3 0.339 0.000 0.750
Sn4 0.339 0.339 0.250
Sn5 0.661 0.000 0.250
Sn6 0.661 0.661 0.750

Calculated values
DOS(E_F)   1.35 states/eV/atom
Spin magnetization   0.204 μB per atom
Energy of formation   -0.571 eV per atom
V   283.78 Å³/f.u.

=====

Entry 4:
Here is a geometry-optimized LaTmSn2 structure from Alexandria via LeMat-Bulk. Energies are from PBE.

a = 8.932 Å, b = 4.332 Å, c = 12.483 Å
α = 90.00°, β = 90.00°, γ = 90.00°
Fractional positions:
La1 0.137 0.250 0.147
La2 0.363 0.750 0.647
La3 0.637 0.250 0.353
La4 0.863 0.750 0.853
Tm1 0.016 0.750 0.395
Tm2 0.484 0.250 0.895
Tm3 0.516 0.750 0.105
Tm4 0.984 0.250 0.605
Sn1 0.152 0.250 0.807
Sn2 0.244 0.750 0.957
Sn3 0.256 0.250 0.457
Sn4 0.348 0.750 0.307
Sn5 0.652 0.250 0.693
Sn6 0.744 0.750 0.543
Sn7 0.756 0.250 0.043
Sn8 0.848 0.750 0.193

Calculated values
DOS(E_F)   0.74 states/eV/atom
Spin magnetization   0.000 μB per atom
Energy of formation   -0.628 eV per atom
V   120.75 Å³/f.u.

=====

Entry 5:
Here is a geometry-optimized LaTmSn2 structure from Alexandria via LeMat-Bulk. Energies are from PBE.

a = 4.370 Å, b = 6.272 Å, c = 6.272 Å
α = 43.41°, β = 90.00°, γ = 90.00°
Fractional positions:
La1 0.000 0.000 0.000
Tm1 0.500 0.731 0.731
Sn1 0.000 0.272 0.272
Sn2 0.500 0.454 0.454

Calculated values
DOS(E_F)   0.82 states/eV/atom
Spin magnetization   0.000 μB per atom
Energy of formation   -0.703 eV per atom
V   118.11 Å³/f.u.

=====

Entry 6:
Here is a geometry-optimized LaTmSn2 structure from Alexandria via LeMat-Bulk. Energies are from PBE.

a = 4.027 Å, b = 4.027 Å, c = 6.973 Å
α = 90.00°, β = 90.00°, γ = 90.00°
Fractional positions:
La1 0.000 0.000 0.000
Tm1 0.000 0.000 0.500
Sn1 0.500 0.500 0.280
Sn2 0.500 0.500 0.720

Calculated values
DOS(E_F)   0.90 states/eV/atom
Spin magnetization   0.000 μB per atom
Energy of formation   -0.647 eV per atom
V   113.06 Å³/f.u.

=====

Entry 7:
Here is a geometry-optimized La2TmSn2 structure from Alexandria via LeMat-Bulk. Energies are from PBE.

a = 8.157 Å, b = 8.157 Å, c = 4.737 Å
α = 90.00°, β = 90.00°, γ = 90.00°
Fractional positions:
La1 0.172 0.328 0.000
La2 0.328 0.828 0.000
La3 0.672 0.172 0.000
La4 0.828 0.672 0.000
Tm1 0.000 0.000 0.500
Tm2 0.500 0.500 0.500
Sn1 0.130 0.630 0.500
Sn2 0.370 0.130 0.500
Sn3 0.630 0.870 0.500
Sn4 0.870 0.370 0.500

Calculated values
DOS(E_F)   0.88 states/eV/atom
Spin magnetization   0.000 μB per atom
Energy of formation   -0.737 eV per atom
ΔE to the lowest computed polymorph   0.0 meV per atom
V   157.60 Å³/f.u.

=====

Entry 8:
Here is a geometry-optimized LaTm4Sn4 structure from Alexandria via LeMat-Bulk. Energies are from PBE.

a = 9.907 Å, b = 9.907 Å, c = 6.048 Å
α = 90.00°, β = 90.00°, γ = 90.00°
Fractional positions:
La1 0.250 0.250 0.250
La2 0.750 0.750 0.750
Tm1 0.107 0.640 0.144
Tm2 0.140 0.893 0.644
Tm3 0.360 0.607 0.644
Tm4 0.393 0.860 0.144
Tm5 0.607 0.140 0.856
Tm6 0.640 0.393 0.356
Tm7 0.860 0.107 0.356
Tm8 0.893 0.360 0.856
Sn1 0.049 0.600 0.659
Sn2 0.100 0.951 0.159
Sn3 0.400 0.549 0.159
Sn4 0.451 0.900 0.659
Sn5 0.549 0.100 0.341
Sn6 0.600 0.451 0.841
Sn7 0.900 0.049 0.841
Sn8 0.951 0.400 0.341

Calculated values
DOS(E_F)   0.99 states/eV/atom
Spin magnetization   0.000 μB per atom
Energy of formation   -0.422 eV per atom
V   296.81 Å³/f.u.